No. 1
{
  "formula": "CuF",
  "functional": "PBE",
  "state": "optimized geometry",
  "lattice": [[2.8890, 0.0000, 0.0000], [0.0000, 9.9802, 0.0000], [0.0000, 0.0000, 4.8850]],
  "species": ["Cu", "Cu", "Cu", "Cu", "Cu", "Cu", "F", "F", "F", "F", "F", "F"],
  "frac_coords": [[0.0000, 0.0000, 0.0000], [0.0000, 0.3726, 0.1633], [0.0000, 0.6274, 0.1633], [0.5000, 0.1274, 0.6633], [0.5000, 0.5000, 0.5000], [0.5000, 0.8726, 0.6633], [0.0000, 0.2509, 0.4773], [0.0000, 0.5000, 0.8217], [0.0000, 0.7491, 0.4773], [0.5000, 0.0000, 0.3217], [0.5000, 0.2491, 0.9773], [0.5000, 0.7509, 0.9773]],
  "formation_energy_uncorrected_ev_per_atom": -1.0391
}

No. 2
{
  "formula": "CuF",
  "functional": "PBE",
  "state": "optimized geometry",
  "lattice": [[4.8449, 0.0000, 0.0000], [0.0000, 4.8449, 0.0000], [0.0000, 0.0000, 4.8449]],
  "species": ["Cu", "Cu", "Cu", "Cu", "F", "F", "F", "F"],
  "frac_coords": [[0.0000, 0.0000, 0.0000], [0.0000, 0.5000, 0.5000], [0.5000, 0.0000, 0.5000], [0.5000, 0.5000, 0.0000], [0.2500, 0.2500, 0.2500], [0.2500, 0.7500, 0.7500], [0.7500, 0.2500, 0.7500], [0.7500, 0.7500, 0.2500]],
  "formation_energy_uncorrected_ev_per_atom": -0.8089
}

No. 3
{
  "formula": "CuF",
  "functional": "PBE",
  "state": "optimized geometry",
  "lattice": [[5.9530, 0.0000, 0.0000], [0.0000, 5.9530, 0.0000], [0.0000, 0.0000, 5.9530]],
  "species": ["Cu", "Cu", "Cu", "Cu", "Cu", "Cu", "F", "F", "F", "F", "F", "F"],
  "frac_coords": [[0.0000, 0.2500, 0.5000], [0.0000, 0.7500, 0.5000], [0.2500, 0.5000, 0.0000], [0.5000, 0.0000, 0.2500], [0.5000, 0.0000, 0.7500], [0.7500, 0.5000, 0.0000], [0.0000, 0.5000, 0.2500], [0.0000, 0.5000, 0.7500], [0.2500, 0.0000, 0.5000], [0.5000, 0.2500, 0.0000], [0.5000, 0.7500, 0.0000], [0.7500, 0.0000, 0.5000]],
  "formation_energy_uncorrected_ev_per_atom": -0.7640
}

No. 4
{
  "formula": "CuF",
  "functional": "PBE",
  "state": "optimized geometry",
  "lattice": [[8.7042, 0.0000, 0.0000], [0.0000, 8.7042, 0.0000], [0.0000, 0.0000, 2.8872]],
  "species": ["Cu", "Cu", "Cu", "Cu", "Cu", "Cu", "Cu", "Cu", "F", "F", "F", "F", "F", "F", "F", "F"],
  "frac_coords": [[0.0812, 0.1935, 0.0000], [0.1935, 0.9188, 0.0000], [0.3065, 0.5812, 0.5000], [0.4188, 0.3065, 0.5000], [0.5812, 0.6935, 0.5000], [0.6935, 0.4188, 0.5000], [0.8065, 0.0812, 0.0000], [0.9188, 0.8065, 0.0000], [0.1154, 0.7107, 0.0000], [0.2107, 0.3846, 0.5000], [0.2893, 0.1154, 0.0000], [0.3846, 0.7893, 0.5000], [0.6154, 0.2107, 0.5000], [0.7107, 0.8846, 0.0000], [0.7893, 0.6154, 0.5000], [0.8846, 0.2893, 0.0000]],
  "formation_energy_uncorrected_ev_per_atom": -0.9824
}

No. 5
{
  "formula": "CuF6",
  "functional": "PBE",
  "state": "optimized geometry",
  "lattice": [[10.3276, 0.0000, 0.0000], [0.0000, 5.6304, 0.0000], [0.0000, 0.0000, 7.1609]],
  "species": ["Cu", "Cu", "Cu", "Cu", "F", "F", "F", "F", "F", "F", "F", "F", "F", "F", "F", "F", "F", "F", "F", "F", "F", "F", "F", "F", "F", "F", "F", "F"],
  "frac_coords": [[0.1503, 0.2500, 0.0679], [0.3497, 0.7500, 0.5679], [0.6503, 0.2500, 0.4321], [0.8497, 0.7500, 0.9321], [0.0119, 0.2500, 0.5890], [0.0644, 0.7500, 0.5770], [0.1039, 0.0279, 0.9070], [0.1039, 0.4721, 0.9070], [0.1915, 0.0281, 0.2296], [0.1915, 0.4719, 0.2296], [0.3085, 0.5281, 0.7296], [0.3085, 0.9719, 0.7296], [0.3961, 0.5279, 0.4070], [0.3961, 0.9721, 0.4070], [0.4356, 0.2500, 0.0770], [0.4881, 0.7500, 0.0890], [0.5119, 0.2500, 0.9110], [0.5644, 0.7500, 0.9230], [0.6039, 0.0279, 0.5930], [0.6039, 0.4721, 0.5930], [0.6915, 0.0281, 0.2704], [0.6915, 0.4719, 0.2704], [0.8085, 0.5281, 0.7704], [0.8085, 0.9719, 0.7704], [0.8961, 0.5279, 0.0930], [0.8961, 0.9721, 0.0930], [0.9356, 0.2500, 0.4230], [0.9881, 0.7500, 0.4110]],
  "formation_energy_uncorrected_ev_per_atom": -0.6637
}

No. 6
{
  "formula": "Cu3F",
  "functional": "PBE",
  "state": "optimized geometry",
  "lattice": [[5.1956, 0.0000, 0.0000], [-2.5978, 4.4995, 0.0000], [0.0000, 0.0000, 4.1024]],
  "species": ["Cu", "Cu", "Cu", "Cu", "Cu", "Cu", "F", "F"],
  "frac_coords": [[0.1632, 0.3263, 0.2500], [0.1632, 0.8368, 0.2500], [0.3263, 0.1632, 0.7500], [0.6736, 0.8368, 0.2500], [0.8368, 0.1632, 0.7500], [0.8368, 0.6736, 0.7500], [0.3333, 0.6667, 0.7500], [0.6667, 0.3333, 0.2500]],
  "formation_energy_uncorrected_ev_per_atom": -0.1196
}